Entry 1:
The following is a DFT calculation (PBE-GGA) of an optimized crystal structure of Pr8AsP3Br4.

Properties
Space group ... R-3m
Formation energy without anion corrections ... -23.826 eV per formula unit
Uncorrected energy ... -5.60 eV/atom

abc: 8.8265 8.8265 8.8265
angles: 57.37 57.37 57.37
With the nearest neighbours (Å) after each atom.
Sites, in units of the cell vectors:
Pr 0.2244 0.7395 0.7395  2 P 2.84, 1 As 2.93
Pr 0.2339 0.2339 0.2339  3 P 2.86
Pr 0.2605 0.2605 0.7756  2 P 2.84, 1 As 2.93
Pr 0.2605 0.7756 0.2605  2 P 2.84, 1 As 2.93
Pr 0.7395 0.2244 0.7395  2 P 2.84, 1 As 2.93
Pr 0.7395 0.7395 0.2244  2 P 2.84, 1 As 2.93
Pr 0.7661 0.7661 0.7661  3 P 2.86
Pr 0.7756 0.2605 0.2605  2 P 2.84, 1 As 2.93
As 0.5000 0.5000 0.5000  6 Pr 2.93
P 0.0000 0.0000 0.5000  6 Pr 2.84-2.86
P 0.0000 0.5000 0.0000  6 Pr 2.84-2.86
P 0.5000 0.0000 0.0000  6 Pr 2.84-2.86
Br 0.0000 0.0000 0.0000  6 Pr 3.22
Br 0.0000 0.5000 0.5000  6 Pr 3.28-3.30
Br 0.5000 0.0000 0.5000  6 Pr 3.28-3.30
Br 0.5000 0.5000 0.0000  6 Pr 3.28-3.30

---

Entry 2:
The following is a DFT calculation (PBE-GGA) of an optimized crystal structure of Pr6AsP2Br3.

Properties
Space group ... C2/m
Formation energy without anion corrections ... -17.798 eV per formula unit
Uncorrected energy ... -5.58 eV/atom

abc: 9.7949 9.7949 8.8188
angles: 106.03 106.03 25.01
With the nearest neighbours (Å) after each atom.
Sites, in units of the cell vectors:
Pr 0.0132 0.0132 0.2323  1 P 2.84, 2 As 2.91
Pr 0.3226 0.3226 0.4434  3 P 2.84-2.85
Pr 0.3404 0.3404 0.8852  2 P 2.85, 1 As 2.93
Pr 0.6596 0.6596 0.1148  2 P 2.85, 1 As 2.93
Pr 0.6774 0.6774 0.5566  3 P 2.84-2.85
Pr 0.9868 0.9868 0.7677  1 P 2.84, 2 As 2.91
As 0.5000 0.5000 0.0000  6 Pr 2.91-2.93
P 0.1679 0.1679 0.3350  6 Pr 2.84-2.85
P 0.8321 0.8321 0.6650  6 Pr 2.84-2.85
Br 0.1656 0.1656 0.8330  6 Pr 3.24-3.30
Br 0.5000 0.5000 0.5000  6 Pr 3.24-3.29
Br 0.8344 0.8344 0.1670  6 Pr 3.24-3.30

---

| no. | volume (A^3/atom) |
| --- | --- |
| 1 | 28.55 |
| 2 | 28.59 |